VASP calculation (PBE) on a relaxed structure of Cr2NiTe.

It has space group I-42d (No. 122), with a = 3.619 Å, b = 3.619 Å, c = 18.494 Å, α = 90.00°, β = 90.00° and γ = 90.00°. Symmetry generates all atoms from Cr at (0.183, 0.250, 0.125), Ni at (0.000, 0.000, 0.000) and Te at (0.000, 0.000, 0.500).

The calculation puts the uncorrected formation energy at 0.554 eV/atom.

***

VASP calculation (PBE) on a relaxed structure of InAg2Se.

It has space group Cm (No. 8), with a = 12.671 Å, b = 3.654 Å, c = 4.012 Å, α = 90.00°, β = 97.59° and γ = 90.00°. Symmetry generates all atoms from In at (0.000, 0.000, 0.000), Ag at (0.235, 0.500, 0.548), Ag at (0.423, 0.000, 0.469) and Se at (0.218, 0.000, 0.037).

The calculation puts the uncorrected formation energy at -0.029 eV/atom.

***

VASP calculation (PBE) on a relaxed structure of BeInOs.

It has space group P-6m2 (No. 187), with a = 3.9975 Å, b = 3.9975 Å, c = 3.2763 Å, α = 90.00°, β = 90.00° and γ = 120.00°. Symmetry generates all atoms from Be at (0.0000, 0.0000, 0.0000), In at (0.6667, 0.3333, 0.5000) and Os at (0.3333, 0.6667, 0.0000).

The value obtained for the energy of formation is 0.273 eV/atom.

***

VASP calculation (PBE) on a relaxed structure of SiNi2Br.

It has space group R3m (No. 160, hexagonal axes), with a = 3.7159 Å, b = 3.7159 Å, c = 16.8256 Å, α = 90.00°, β = 90.00° and γ = 120.00°. Symmetry generates all atoms from Si at (0.0000, 0.0000, 0.0000), Ni at (0.0000, 0.0000, 0.3790), Ni at (0.0000, 0.0000, 0.6239) and Br at (0.0000, 0.0000, 0.8366).

The calculation puts the uncorrected formation energy at -0.056 eV/atom.

***

VASP calculation (PBE) on a relaxed structure of SrYF3.

It has space group Pm-3m (No. 221), with a = 4.742 Å, b = 4.742 Å, c = 4.742 Å, α = 90.00°, β = 90.00° and γ = 90.00°. Symmetry generates all atoms from Sr at (0.000, 0.000, 0.000), Y at (0.500, 0.500, 0.500) and F at (0.000, 0.000, 0.500).

The calculation puts the uncorrected formation energy at -2.544 eV/atom.

***

VASP calculation (PBE) on a relaxed structure of HoTlAgS2.

It has space group P2/c (No. 13), with a = 6.353 Å, b = 6.008 Å, c = 7.395 Å, α = 90.00°, β = 104.51° and γ = 90.00°. Symmetry generates all atoms from Ho at (0.000, 0.019, 0.250), Tl at (0.500, 0.309, 0.250), Ag at (0.000, 0.500, 0.000) and S at (0.248, 0.185, 0.565).

The calculation puts the uncorrected formation energy at -0.815 eV/atom.

***

VASP calculation (PBE) on a relaxed structure of In3ReGe.

It has space group Pm-3m (No. 221), with a = 5.228 Å, b = 5.228 Å, c = 5.228 Å, α = 90.00°, β = 90.00° and γ = 90.00°. Symmetry generates all atoms from In at (0.000, 0.000, 0.500), Re at (0.000, 0.000, 0.000) and Ge at (0.500, 0.500, 0.500).

The value obtained for the energy of formation is 0.785 eV/atom.

***

VASP calculation (PBE) on a relaxed structure of CdNi3Cl.

It has space group Pm-3m (No. 221), with a = 4.217 Å, b = 4.217 Å, c = 4.217 Å, α = 90.00°, β = 90.00° and γ = 90.00°. Symmetry generates all atoms from Cd at (0.000, 0.000, 0.000), Ni at (0.000, 0.500, 0.500) and Cl at (0.500, 0.500, 0.500).

The calculation puts the uncorrected formation energy at 0.466 eV/atom.

***

VASP calculation (PBE) on a relaxed structure of Dy5Sc2Al4.

It has space group Immm (No. 71), with a = 5.107 Å, b = 10.186 Å, c = 12.183 Å, α = 90.00°, β = 90.00° and γ = 90.00°. Symmetry generates all atoms from Dy at (0.000, 0.000, 0.000), Dy at (0.000, 0.158, 0.288), Sc at (0.000, 0.500, 0.325), Al at (0.000, 0.318, 0.500) and Al at (0.000, 0.500, 0.106).

The value obtained for the energy of formation is 0.161 eV/atom.

***

VASP calculation (PBE) on a relaxed structure of CdCu2Hg.

It has space group I-42d (No. 122), with a = 4.087 Å, b = 4.087 Å, c = 18.424 Å, α = 90.00°, β = 90.00° and γ = 90.00°. Symmetry generates all atoms from Cd at (0.000, 0.000, 0.000), Cu at (0.243, 0.250, 0.625) and Hg at (0.000, 0.000, 0.500).

The value obtained for the energy of formation is 0.342 eV/atom.

***

VASP calculation (PBE) on a relaxed structure of AlSbC2.

It has space group Fm-3m (No. 225), with a = 5.857 Å, b = 5.857 Å, c = 5.857 Å, α = 90.00°, β = 90.00° and γ = 90.00°. Symmetry generates all atoms from Al at (0.000, 0.000, 0.000), Sb at (0.000, 0.000, 0.500) and C at (0.250, 0.250, 0.250).

The calculation puts the uncorrected formation energy at 1.921 eV/atom.

***

VASP calculation (PBE) on a relaxed structure of Si2HgW.

It has space group R-3m (No. 166, hexagonal axes), with a = 3.1061 Å, b = 3.1061 Å, c = 25.0293 Å, α = 90.00°, β = 90.00° and γ = 120.00°. Symmetry generates all atoms from Si at (0.0000, 0.0000, 0.2390), Hg at (0.0000, 0.0000, 0.0000) and W at (0.0000, 0.0000, 0.5000).

The calculation puts the uncorrected formation energy at 0.304 eV/atom.

***

VASP calculation (PBE) on a relaxed structure of EuAlPd.

It has space group P-6m2 (No. 187), with a = 4.3813 Å, b = 4.3813 Å, c = 4.2396 Å, α = 90.00°, β = 90.00° and γ = 120.00°. Symmetry generates all atoms from Eu at (0.0000, 0.0000, 0.0000), Al at (0.6667, 0.3333, 0.5000) and Pd at (0.3333, 0.6667, 0.5000).

The value obtained for the energy of formation is -0.632 eV/atom.

***

VASP calculation (PBE) on a relaxed structure of SbIF2.

It has space group Fm-3m (No. 225), with a = 6.584 Å, b = 6.584 Å, c = 6.584 Å, α = 90.00°, β = 90.00° and γ = 90.00°. Symmetry generates all atoms from Sb at (0.000, 0.000, 0.000), I at (0.000, 0.000, 0.500) and F at (0.250, 0.250, 0.250).

The calculation puts the uncorrected formation energy at -0.860 eV/atom.

***

VASP calculation (PBE) on a relaxed structure of CdSe2Br.

It has space group F-43m (No. 216), with a = 7.168 Å, b = 7.168 Å, c = 7.168 Å, α = 90.00°, β = 90.00° and γ = 90.00°. Symmetry generates all atoms from Cd at (0.000, 0.000, 0.000), Se at (0.000, 0.000, 0.500), Se at (0.250, 0.250, 0.250) and Br at (0.250, 0.250, 0.750).

The calculation puts the uncorrected formation energy at 0.306 eV/atom.

***

VASP calculation (PBE) on a relaxed structure of Li3PmSc2Se6.

It has space group C2/m (No. 12), with a = 6.884 Å, b = 11.930 Å, c = 6.849 Å, α = 90.00°, β = 109.65° and γ = 90.00°. Symmetry generates all atoms from Li at (0.000, 0.000, 0.000), Li at (0.000, 0.334, 0.000), Pm at (0.000, 0.500, 0.500), Sc at (0.000, 0.167, 0.500), Se at (0.231, 0.000, 0.749) and Se at (0.241, 0.176, 0.253).

The calculation puts the uncorrected formation energy at -1.611 eV/atom.

***

VASP calculation (PBE) on a relaxed structure of HfBe10Mo.

It has space group Pmmm (No. 47), with a = 3.395 Å, b = 4.411 Å, c = 7.685 Å, α = 90.00°, β = 90.00° and γ = 90.00°. Symmetry generates all atoms from Hf at (0.000, 0.000, 0.000), Be at (0.000, 0.000, 0.345), Be at (0.000, 0.500, 0.179), Be at (0.500, 0.000, 0.500), Be at (0.500, 0.255, 0.260), Be at (0.500, 0.500, 0.000) and Mo at (0.000, 0.500, 0.500).

The value obtained for the energy of formation is -0.192 eV/atom.

***

VASP calculation (PBE) on a relaxed structure of LiAcPmRu.

It has space group F-43m (No. 216), with a = 7.339 Å, b = 7.339 Å, c = 7.339 Å, α = 90.00°, β = 90.00° and γ = 90.00°. Symmetry generates all atoms from Li at (0.000, 0.000, 0.000), Ac at (0.250, 0.250, 0.750), Pm at (0.250, 0.250, 0.250) and Ru at (0.000, 0.000, 0.500).

The value obtained for the energy of formation is -0.084 eV/atom.

***

VASP calculation (PBE) on a relaxed structure of CsZn2H2.

It has space group I4/mmm (No. 139), with a = 4.366 Å, b = 4.366 Å, c = 9.715 Å, α = 90.00°, β = 90.00° and γ = 90.00°. Symmetry generates all atoms from Cs at (0.000, 0.000, 0.000), Zn at (0.000, 0.000, 0.339) and H at (0.000, 0.500, 0.250).

***

VASP calculation (PBE) on a relaxed structure of Al2ZnRh4.

It has space group I4/mmm (No. 139), with a = 5.922 Å, b = 5.922 Å, c = 5.898 Å, α = 90.00°, β = 90.00° and γ = 90.00°. Symmetry generates all atoms from Al at (0.000, 0.500, 0.000), Zn at (0.000, 0.000, 0.000) and Rh at (0.250, 0.250, 0.250).

The value obtained for the energy of formation is -0.506 eV/atom.

***

VASP calculation (PBE) on a relaxed structure of CsAg3Cl3.

It has space group Pm-3n (No. 223), with a = 7.637 Å, b = 7.637 Å, c = 7.637 Å, α = 90.00°, β = 90.00° and γ = 90.00°. Symmetry generates all atoms from Cs at (0.000, 0.000, 0.000), Ag at (0.000, 0.250, 0.500) and Cl at (0.000, 0.500, 0.250).

The calculation puts the uncorrected formation energy at -0.512 eV/atom.

***

VASP calculation (PBE) on a relaxed structure of Zr3Cd3O.

It has space group Fd-3m (No. 227, origin choice 2), with a = 12.846 Å, b = 12.846 Å, c = 12.846 Å, α = 90.00°, β = 90.00° and γ = 90.00°. Symmetry generates all atoms from Zr at (0.052, 0.375, 0.375), Cd at (0.000, 0.000, 0.500), Cd at (0.038, 0.038, 0.712) and O at (0.000, 0.000, 0.000).

The calculation puts the uncorrected formation energy at -0.779 eV/atom.

***

VASP calculation (PBE) on a relaxed structure of CaNdZn2Ga2.

It has space group P-3m1 (No. 164), with a = 4.4963 Å, b = 4.4963 Å, c = 7.5234 Å, α = 90.00°, β = 90.00° and γ = 120.00°. Symmetry generates all atoms from Ca at (0.0000, 0.0000, 0.0000), Nd at (0.0000, 0.0000, 0.5000), Zn at (0.3333, 0.6667, 0.2519) and Ga at (0.3333, 0.6667, 0.7403).

The value obtained for the energy of formation is -0.495 eV/atom.

***

VASP calculation (PBE) on a relaxed structure of Ba2BiOsO6.

It has space group Fm-3m (No. 225), with a = 8.611 Å, b = 8.611 Å, c = 8.611 Å, α = 90.00°, β = 90.00° and γ = 90.00°. Symmetry generates all atoms from Ba at (0.250, 0.250, 0.250), Bi at (0.000, 0.000, 0.000), Os at (0.000, 0.000, 0.500) and O at (0.000, 0.000, 0.269).

The calculation puts the uncorrected formation energy at -1.808 eV/atom.

***

VASP calculation (PBE) on a relaxed structure of RbMnNi.

It has space group P1 (No. 1), with a = 4.043 Å, b = 4.051 Å, c = 12.610 Å, α = 90.00°, β = 90.20° and γ = 119.83°. Symmetry generates all atoms from Rb at (0.000, 0.000, 0.000), Rb at (0.344, 0.678, 0.646), Mn at (0.670, 0.337, 0.224), Mn at (0.673, 0.339, 0.423), Ni at (0.005, 0.005, 0.325) and Ni at (0.338, 0.670, 0.323).

The value obtained for the energy of formation is 0.472 eV/atom.

***

Computed mass density (g/cm³) in order:
8.0 7.4 11.5 5.6 3.6 6.6 7.0 7.2 5.3 9.5 5.7 10.5 6.7 6.7 6.3 4.6 5.3 8.1 4.8 8.5 4.2 7.9 5.7 8.0 3.7
Computed raw total energy (eV/atom) in order:
-6.4889 -3.0108 -5.6250 -4.7206 -5.2961 -4.4251 -4.2713 -3.5556 -4.4433 -2.0106 -4.6572 -5.7211 -7.0354 -3.2135 -2.0830 -5.2829 -5.0290 -5.0958 -1.7001 -5.9583 -2.6475 -5.5434 -3.0571 -6.6786 -4.8338